Below is MgZn2AgPd after structural relaxation, with properties calculated at the PBE level.

Cell: 5.107 5.103 7.164 Å, 110.87 90.00 90.00°
Element x y z (fractional)
Mg 0.250 0.249 0.499
Mg 0.750 0.751 0.501
Ag 0.250 0.850 0.701
Ag 0.750 0.150 0.299
Zn 0.000 0.253 0.000
Zn 0.500 0.253 0.000
Zn 0.000 0.747 0.000
Zn 0.500 0.747 0.000
Pd 0.250 0.646 0.292
Pd 0.750 0.354 0.708

Output
- energy relative to the elements (eV per atom) = -0.23
- space group = Cmcm, No. 63
- calculated density (g cm⁻³) = 7.03